A plane-wave DFT calculation with PBE was carried out for crystalline Ho8Ge3Te4Cl at its relaxed geometry.

* uncorrected formation energy: -1224 meV per atom

Lattice parameters (Å, degrees): 8.4000 8.4000 21.0807 90.00 90.00 120.00
Space group R-3m (No. 166, hexagonal axes)
Unique sites:
Ho (0.0000, 0.0000, 0.2397)
Ho (0.0138, 0.5069, 0.7596)
Ge (0.0000, 0.5000, 0.5000)
Te (0.0000, 0.0000, 0.0000)
Te (0.0000, 0.5000, 0.0000)
Cl (0.0000, 0.0000, 0.5000)

---

A plane-wave DFT calculation with PBE was carried out for crystalline Nd4Sm15Er at its relaxed geometry.

* formation energy: 0.32 eV per formula unit

Lattice parameters (Å, degrees): 5.139 5.139 25.678 90.00 90.00 90.00
Space group P4/mmm (No. 123)
Unique sites:
Nd (0.000, 0.000, 0.100)
Nd (0.000, 0.000, 0.301)
Sm (0.000, 0.500, 0.000)
Sm (0.000, 0.500, 0.201)
Sm (0.000, 0.500, 0.402)
Sm (0.500, 0.500, 0.100)
Sm (0.500, 0.500, 0.301)
Sm (0.500, 0.500, 0.500)
Er (0.000, 0.000, 0.500)

---

A plane-wave DFT calculation with PBE was carried out for crystalline Mg2Sc5AlPd2 at its relaxed geometry.

* formation energy: -4.37 eV per formula unit

Lattice parameters (Å, degrees): 11.352 11.352 3.381 90.00 90.00 90.00
Space group P4/mbm (No. 127)
Unique sites:
Mg (0.177, 0.323, 0.000)
Sc (0.000, 0.500, 0.500)
Sc (0.064, 0.801, 0.500)
Al (0.000, 0.000, 0.000)
Pd (0.130, 0.630, 0.000)

---

A plane-wave DFT calculation with PBE was carried out for crystalline NdDy4Ho15 at its relaxed geometry.

* formation energy: 0.40 eV per formula unit

Lattice parameters (Å, degrees): 4.999 4.999 24.985 90.00 90.00 90.00
Space group P4/mmm (No. 123)
Unique sites:
Nd (0.000, 0.000, 0.000)
Dy (0.000, 0.000, 0.201)
Dy (0.000, 0.000, 0.400)
Ho (0.000, 0.500, 0.101)
Ho (0.000, 0.500, 0.301)
Ho (0.000, 0.500, 0.500)
Ho (0.500, 0.500, 0.000)
Ho (0.500, 0.500, 0.201)
Ho (0.500, 0.500, 0.400)

---

A plane-wave DFT calculation with PBE was carried out for crystalline Ca2ZnOs at its relaxed geometry.

* formation energy: 1.27 eV per formula unit

Lattice parameters (Å, degrees): 4.407 4.407 8.501 90.00 90.00 90.00
Space group I-4m2 (No. 119)
Unique sites:
Ca (0.000, 0.000, 0.000)
Ca (0.000, 0.500, 0.250)
Zn (0.000, 0.000, 0.500)
Os (0.000, 0.500, 0.750)

---

A plane-wave DFT calculation with PBE was carried out for crystalline LaHg2 at its relaxed geometry.

* formation energy: -1.10 eV per formula unit

Lattice parameters (Å, degrees): 4.803 4.803 28.892 90.00 90.00 90.00
Space group I4_1/amd (No. 141, origin choice 2)
Unique sites:
La (0.000, 0.250, 0.296)
Hg (0.000, 0.250, 0.126)
Hg (0.000, 0.250, 0.789)

---

A plane-wave DFT calculation with PBE was carried out for crystalline SmMgTc at its relaxed geometry.

* formation energy: 0.13 eV per formula unit

Lattice parameters (Å, degrees): 12.820 4.288 5.450 90.00 101.36 90.00
Space group C2/m (No. 12)
Unique sites:
Sm (0.132, 0.000, 0.333)
Mg (0.077, 0.500, 0.789)
Tc (0.223, 0.000, 0.899)

---

A plane-wave DFT calculation with PBE was carried out for crystalline K3Cu4Te4 at its relaxed geometry.

* energy above the lowest structure with this stoichiometry: 110 meV per atom
* uncorrected formation energy: -347 meV per atom

Lattice parameters (Å, degrees): 5.197 6.966 15.243 90.00 90.00 90.00
Space group Immm (No. 71)
Unique sites:
K (0.000, 0.000, 0.000)
K (0.000, 0.500, 0.123)
Cu (0.000, 0.319, 0.330)
Te (0.000, 0.000, 0.225)
Te (0.000, 0.223, 0.500)

---

A plane-wave DFT calculation with PBE was carried out for crystalline LiCd2Se2 at its relaxed geometry.

* energy above the lowest structure with this stoichiometry: 167 meV per atom
* uncorrected formation energy: -323 meV per atom

Lattice parameters (Å, degrees): 4.192 4.192 14.180 90.00 90.00 90.00
Space group I4/mmm (No. 139)
Unique sites:
Li (0.000, 0.000, 0.000)
Cd (0.000, 0.500, 0.250)
Se (0.000, 0.000, 0.395)

---

A plane-wave DFT calculation with PBE was carried out for crystalline K2SnSe3 at its relaxed geometry.

* uncorrected formation energy: -863 meV per atom

Lattice parameters (Å, degrees): 12.918 8.600 7.463 90.00 101.11 90.00
Space group C2/c (No. 15)
Unique sites:
K (0.157, 0.159, 0.168)
Sn (0.000, 0.413, 0.750)
Se (0.000, 0.122, 0.750)
Se (0.139, 0.446, 0.488)

---

A plane-wave DFT calculation with PBE was carried out for crystalline ZnH2Cl2O at its relaxed geometry.

* VASP energy: -3.783 eV per atom

Lattice parameters (Å, degrees): 13.540 6.745 5.234 90.00 90.00 90.00
Space group Cmc2_1 (No. 36)
Unique sites:
Zn (0.000, 0.198, 0.000)
H (0.059, 0.202, 0.517)
Cl (0.139, 0.268, 0.193)
O (0.000, 0.151, 0.617)

---

A plane-wave DFT calculation with PBE was carried out for crystalline Ni2HgMo at its relaxed geometry.

* formation energy: 1.15 eV per formula unit

Lattice parameters (Å, degrees): 2.722 4.196 5.241 90.00 105.03 90.00
Space group Pm (No. 6)
Unique sites:
Ni (0.000, 0.000, 0.000)
Ni (0.136, 0.500, 0.267)
Hg (0.743, 0.000, 0.480)
Mo (0.412, 0.500, 0.821)

---

A plane-wave DFT calculation with PBE was carried out for crystalline MgZnAs2Br at its relaxed geometry.

* energy above the lowest structure with this stoichiometry: 0 meV per atom
* uncorrected formation energy: 304 meV per atom

Lattice parameters (Å, degrees): 4.793 4.793 5.541 90.00 90.00 90.00
Space group P4/mmm (No. 123)
Unique sites:
Mg (0.000, 0.000, 0.000)
Zn (0.500, 0.500, 0.500)
As (0.000, 0.500, 0.500)
Br (0.500, 0.500, 0.000)

---

A plane-wave DFT calculation with PBE was carried out for crystalline AlCoSe2 at its relaxed geometry.

* uncorrected formation energy: -63 meV per atom

Lattice parameters (Å, degrees): 5.229 7.702 3.565 90.00 90.00 90.00
Space group Cmmm (No. 65)
Unique sites:
Al (0.000, 0.000, 0.000)
Co (0.000, 0.500, 0.000)
Se (0.000, 0.302, 0.500)

---

A plane-wave DFT calculation with PBE was carried out for crystalline Ho3Se2N at its relaxed geometry.

* energy above the lowest structure with this stoichiometry: 0 meV per atom
* uncorrected formation energy: -1634 meV per atom

Lattice parameters (Å, degrees): 3.867 3.867 16.785 90.00 90.00 90.00
Space group I4/mmm (No. 139)
Unique sites:
Ho (0.000, 0.000, 0.000)
Ho (0.000, 0.000, 0.365)
Se (0.000, 0.000, 0.172)
N (0.000, 0.000, 0.500)

---

A plane-wave DFT calculation with PBE was carried out for crystalline CuSi2P at its relaxed geometry.

* uncorrected formation energy: 433 meV per atom

Lattice parameters (Å, degrees): 2.625 3.883 5.449 90.00 90.00 90.00
Space group Pmmm (No. 47)
Unique sites:
Cu (0.000, 0.000, 0.000)
Si (0.500, 0.500, 0.240)
P (0.000, 0.000, 0.500)

---

A plane-wave DFT calculation with PBE was carried out for crystalline Ho2ScTaN4 at its relaxed geometry.

* uncorrected formation energy: -1641 meV per atom

Lattice parameters (Å, degrees): 5.664 3.268 5.710 90.00 109.10 90.00
Space group P2/m (No. 10)
Unique sites:
Ho (0.000, 0.000, 0.000)
Ho (0.500, 0.500, 0.000)
Sc (0.000, 0.500, 0.500)
Ta (0.500, 0.000, 0.500)
N (0.252, 0.000, 0.727)
N (0.264, 0.500, 0.274)

---

A plane-wave DFT calculation with PBE was carried out for crystalline NaLiMgPO4F at its relaxed geometry.

* uncorrected formation energy: -2613 meV per atom

Lattice parameters (Å, degrees): 6.910 11.350 5.075 90.00 90.22 90.00
Space group P2_1/c (No. 14)
Unique sites:
Na (0.012, 0.166, 0.245)
Li (0.235, 0.077, 0.737)
Mg (0.481, 0.171, 0.262)
P (0.254, 0.582, 0.729)
O (0.043, 0.624, 0.764)
O (0.282, 0.041, 0.357)
O (0.302, 0.575, 0.428)
O (0.392, 0.671, 0.869)
F (0.301, 0.211, 0.960)

---

A plane-wave DFT calculation with PBE was carried out for crystalline ScCd2P at its relaxed geometry.

* formation energy: -1.14 eV per formula unit

Lattice parameters (Å, degrees): 8.218 8.218 5.225 90.00 90.00 90.00
Space group I-42d (No. 122)
Unique sites:
Sc (0.000, 0.000, 0.000)
Cd (0.195, 0.250, 0.625)
P (0.000, 0.000, 0.500)

---

A plane-wave DFT calculation with PBE was carried out for crystalline TlSbSe2 at its relaxed geometry.

* uncorrected formation energy: -337 meV per atom

Lattice parameters (Å, degrees): 9.264 4.158 13.000 90.00 108.47 90.00
Space group P2_1 (No. 4)
Unique sites:
Tl (0.059, 0.000, 0.363)
Tl (0.319, 0.494, 0.862)
Sb (0.181, 0.994, 0.106)
Sb (0.418, 0.501, 0.609)
Se (0.062, 0.994, 0.894)
Se (0.210, 0.999, 0.610)
Se (0.350, 0.499, 0.396)
Se (0.388, 0.494, 0.115)